# 1
LuAlIrRh | Alexandria | PBE | optimized geometry; energy = -7.066 eV/atom; D(E_F) = 0.9 states/eV per cell; ΔH_f (0 K) = -0.9466 eV/atom
1.0
4.514 0.000 0.000
2.257 3.909 0.000
2.257 1.303 3.685
Rh Lu Ir Al
1 1 1 1
Direct
0.500 0.500 0.500 Rh
0.750 0.750 0.750 Lu
0.000 0.000 0.000 Ir
0.250 0.250 0.250 Al

---

# 2
LuScAlIr | Alexandria | PBE | optimized geometry; energy = -6.534 eV/atom; D(E_F) = 2.9 states/eV per cell; ΔH_f (0 K) = -0.6702 eV/atom
1.0
-1.472 2.984 -3.415
-2.629 -1.637 -3.625
-4.612 1.169 -0.319
Lu Ir Sc Al
1 1 1 1
Direct
0.750 0.750 0.750 Lu
0.500 0.500 0.500 Ir
0.250 0.250 0.250 Sc
0.000 0.000 0.000 Al

---

# 3
TbLuAlIr | Alexandria | PBE | optimized geometry; energy = -6.030 eV/atom; D(E_F) = 3.1 states/eV per cell; ΔH_f (0 K) = -0.5916 eV/atom
1.0
-1.471 0.615 4.666
-2.501 -3.580 2.289
2.139 -2.576 3.619
Al Lu Ir Tb
1 1 1 1
Direct
0.500 0.500 0.500 Al
0.250 0.250 0.250 Lu
0.000 0.000 0.000 Ir
0.750 0.750 0.750 Tb

---

# 4
YLuAlIr | Alexandria | PBE | optimized geometry; energy = -6.502 eV/atom; D(E_F) = 2.9 states/eV per cell; ΔH_f (0 K) = -0.6049 eV/atom
1.0
-2.206 -2.531 3.601
-1.164 -4.736 -0.675
2.470 -3.510 2.412
Lu Ir Y Al
1 1 1 1
Direct
0.250 0.250 0.250 Lu
0.000 0.000 0.000 Ir
0.750 0.750 0.750 Y
0.500 0.500 0.500 Al

---

# 5
LuAlZnIr | Alexandria | PBE | optimized geometry; energy = -5.168 eV/atom; D(E_F) = 2.7 states/eV per cell; ΔH_f (0 K) = -0.5686 eV/atom
1.0
-2.894 -1.034 -3.394
-0.816 -4.379 -1.058
-4.072 -1.864 0.952
Lu Ir Zn Al
1 1 1 1
Direct
0.750 0.750 0.750 Lu
0.500 0.500 0.500 Ir
0.000 0.000 0.000 Zn
0.250 0.250 0.250 Al

---

# 6
Mg2AlIr | Alexandria | PBE | optimized geometry; energy = -3.868 eV/atom; D(E_F) = 4.0 states/eV per cell; ΔH_f (0 K) = 0.0805 eV/atom
1.0
3.860 0.000 0.000
0.000 3.860 0.000
1.930 1.930 9.625
Mg Al Ir
4 2 2
Direct
0.875 0.887 0.750 Mg
0.375 0.363 0.750 Mg
0.113 0.625 0.250 Mg
0.637 0.125 0.250 Mg
0.250 0.750 0.500 Al
0.500 0.500 0.000 Al
0.750 0.250 0.500 Ir
0.000 0.000 0.000 Ir

---

# 7
MgAlIr | Alexandria | PBE | optimized geometry; energy = -5.256 eV/atom; D(E_F) = 0.7 states/eV per cell; ΔH_f (0 K) = -0.5234 eV/atom
1.0
4.291 0.000 0.000
-2.145 3.716 0.000
0.000 0.000 3.036
Mg Al Ir
1 1 1
Direct
0.333 0.667 0.667 Mg
0.000 0.000 0.167 Al
0.667 0.333 0.167 Ir

---

# 8
Mg16Al12Ir | Alexandria | PBE | optimized geometry; energy = -2.813 eV/atom; D(E_F) = 11.0 states/eV per cell; ΔH_f (0 K) = -0.0789 eV/atom; ΔE to the lowest computed polymorph = 0.0 meV/atom
1.0
8.484 0.022 -2.990
-4.170 7.388 -2.990
0.011 0.019 9.022
Mg Al Ir
16 12 1
Direct
0.288 0.595 0.600 Mg
0.002 0.002 0.003 Mg
0.645 0.995 0.003 Mg
0.384 0.384 0.331 Mg
0.995 0.645 0.003 Mg
0.422 0.664 0.020 Mg
0.398 0.995 0.678 Mg
0.325 0.701 0.309 Mg
0.306 0.306 0.702 Mg
0.681 0.000 0.401 Mg
0.000 0.681 0.401 Mg
0.664 0.422 0.020 Mg
0.701 0.325 0.309 Mg
0.986 0.986 0.643 Mg
0.995 0.398 0.678 Mg
0.595 0.288 0.600 Mg
0.188 0.000 0.361 Al
0.641 0.641 0.830 Al
0.798 0.179 0.813 Al
0.163 0.346 0.977 Al
0.816 0.816 0.198 Al
0.816 0.633 0.630 Al
0.366 0.993 0.178 Al
0.633 0.816 0.630 Al
0.179 0.798 0.813 Al
0.346 0.163 0.977 Al
0.000 0.188 0.361 Al
0.993 0.366 0.178 Al
0.674 0.674 0.355 Ir

---

Number 1: magnetic moment 0.00 μB/cell. Number 2: magnetic moment 0.00 μB/cell. Number 3: magnetic moment 0.00 μB/cell. Number 4: magnetic moment 0.00 μB/cell. Number 5: magnetic moment 0.00 μB/cell. Number 6: magnetic moment 0.00 μB/cell. Number 7: magnetic moment 0.00 μB/cell. Number 8: magnetic moment 0.00 μB/cell.